Below is a geometry-optimized Na3Pu5Br16 structure, with properties calculated at the PBE-GGA level.

Summary:
- Calculated volume: 894 Å³/f.u.
- Electronic total energy: -5.7942 eV/atom
- Crystal system: monoclinic
- ΔE_f (raw): -36.7 eV/f.u.

Cell lengths 8.737, 8.737, 13.610 Å; angles 89.23, 89.23, 59.36 degrees
Site moments in Bohr magnetons follow the coordinates.
Positions (direct):
Na1 0.830 0.830 0.785  0.00
Na2 0.169 0.662 0.287  0.00
Na3 0.662 0.169 0.287  0.00
Pu1 0.335 0.832 0.789  5.43
Pu2 0.675 0.675 0.513  -5.34
Pu3 0.832 0.335 0.789  5.43
Pu4 0.167 0.167 0.288  -5.25
Pu5 0.341 0.341 0.028  5.35
Br1 0.339 0.835 0.407  0.03
Br2 0.516 0.516 0.659  -0.02
Br3 0.660 0.660 0.906  -0.04
Br4 0.004 0.004 0.676  -0.04
Br5 0.006 0.006 0.181  0.03
Br6 0.835 0.339 0.407  0.03
Br7 0.507 0.970 0.658  0.00
Br8 0.970 0.507 0.658  0.00
Br9 0.169 0.169 0.902  -0.04
Br10 0.837 0.837 0.409  0.02
Br11 0.025 0.478 0.153  0.00
Br12 0.478 0.025 0.153  0.00
Br13 0.325 0.325 0.401  0.02
Br14 0.168 0.662 0.900  -0.03
Br15 0.487 0.487 0.152  -0.03
Br16 0.662 0.168 0.900  -0.03

Below is a geometry-optimized PrPaOs structure, with properties calculated at the PBE-GGA level.

Summary:
- Calculated volume: 82 Å³/f.u.
- Formation energy: 0.06 eV/atom
- Electronic total energy: -8.4429 eV/atom
- Crystal system: trigonal

Cell lengths 4.770, 4.462, 4.462 Å; angles 120.00, 90.00, 90.00 degrees
Positions (direct):
Pr1 0.678 0.667 0.333
Pa1 0.198 0.333 0.667
Os1 0.124 0.000 0.000

Below is a geometry-optimized Y5TlNi2 structure, with properties calculated at the PBE-GGA level.

Summary:
- Calculated volume: 201 Å³/f.u.
- Formation energy: -0.33 eV/atom
- Electronic total energy: -6.1148 eV/atom
- Crystal system: tetragonal

Cell lengths 7.736, 7.736, 8.661 Å; angles 116.52, 116.52, 90.00 degrees
Positions (direct):
Y1 0.525 0.705 0.730
Y2 0.795 0.975 0.270
Y3 0.000 0.000 0.000
Y4 0.500 0.500 0.000
Y5 0.205 0.025 0.730
Y6 0.705 0.205 0.730
Y7 0.025 0.525 0.730
Y8 0.295 0.795 0.270
Y9 0.975 0.475 0.270
Y10 0.475 0.295 0.270
Tl1 0.750 0.750 0.500
Tl2 0.250 0.250 0.500
Ni1 0.127 0.373 0.000
Ni2 0.627 0.127 0.000
Ni3 0.373 0.873 0.000
Ni4 0.873 0.627 0.000

Below is a geometry-optimized In3AsS3 structure, with properties calculated at the PBE-GGA level.

Summary:
- Calculated volume: 192 Å³/f.u.
- Electronic total energy: -3.9267 eV/atom
- Crystal system: trigonal
- ΔE_f (raw): -2.2 eV/f.u.

Cell lengths 6.724, 6.724, 10.552 Å; angles 71.42, 71.42, 60.00 degrees
Positions (direct):
In1 0.282 0.572 0.203
In2 0.944 0.282 0.203
In3 0.572 0.944 0.203
In4 0.428 0.056 0.797
In5 0.056 0.718 0.797
In6 0.718 0.428 0.797
As1 0.328 0.328 0.016
As2 0.672 0.672 0.984
S1 0.416 0.787 0.675
S2 0.787 0.122 0.675
S3 0.122 0.416 0.675
S4 0.878 0.584 0.325
S5 0.213 0.878 0.325
S6 0.584 0.213 0.325

Which of these has the highest electronic total energy?
In3AsS3

The highest calculated volume belongs to which entry?
Na3Pu5Br16

What is the electronic total energy in the second record?
-8.4429 eV/atom